# 1
PBE PuNpCd, relaxed; total magnetic moment = 0.40 μB per formula unit; formation energy = 0.260 eV/atom; D(E_F) = 25.28 states/eV/cell
1.0
10.0543 0.0000 0.0000
0.0000 3.9153 0.0000
-0.4690 0.0000 6.3848
Pu Np Cd
4 4 4
Cartesian
1.8994 0.0000 0.4426 Pu
2.6587 1.9576 5.9422 Pu
6.9266 1.9576 0.4426 Pu
7.6859 0.0000 5.9422 Pu
0.5434 1.9576 1.0687 Np
4.0147 0.0000 5.3161 Np
5.5706 0.0000 1.0687 Np
9.0419 1.9576 5.3161 Np
1.1881 0.0000 3.6556 Cd
3.3700 1.9576 2.7291 Cd
6.2153 1.9576 3.6556 Cd
8.3972 0.0000 2.7291 Cd

# 2
PBE Pu2NpCd, relaxed; total magnetic moment = 6.11 μB per formula unit; formation energy = 0.566 eV/atom; D(E_F) = 34.18 states/eV/cell; excess energy over the best structure of this formula in the dataset = 35.3 kJ per mole of atoms
1.0
3.6966 0.0000 0.0000
-1.8483 3.2014 0.0000
0.0000 0.0000 26.8555
Pu Np Cd
6 3 3
Cartesian
0.0000 0.0000 3.1867 Pu
0.0000 0.0000 23.6688 Pu
0.0000 2.1343 14.7169 Pu
0.0000 2.1343 21.0904 Pu
1.8483 1.0671 5.7651 Pu
1.8483 1.0671 12.1386 Pu
0.0000 0.0000 13.4278 Np
0.0000 2.1343 4.4759 Np
1.8483 1.0671 22.3796 Np
0.0000 0.0000 0.0000 Cd
0.0000 2.1343 17.9037 Cd
1.8483 1.0671 8.9518 Cd

# 3
PBE PuNpCd4, relaxed; total magnetic moment = 10.66 μB per formula unit; formation energy = 0.127 eV/atom; D(E_F) = 19.19 states/eV/cell
1.0
0.0000 4.1864 4.1864
4.1864 0.0000 4.1864
4.1864 4.1864 0.0000
Pu Np Cd
1 1 4
Cartesian
0.0000 0.0000 0.0000 Pu
2.0932 2.0932 2.0932 Np
5.2326 3.1402 3.1402 Cd
3.1402 5.2326 3.1402 Cd
3.1402 3.1402 5.2326 Cd
5.2326 5.2326 5.2326 Cd

# 4
PBE Pu2NpCd, relaxed; total magnetic moment = 7.18 μB per formula unit; formation energy = 0.200 eV/atom; D(E_F) = 12.40 states/eV/cell; excess energy over the best structure of this formula in the dataset = 0.0 kJ per mole of atoms
1.0
2.9929 0.0000 0.0000
0.0000 2.9929 0.0000
0.0000 0.0000 10.1643
Pu Np Cd
2 1 1
Cartesian
0.0000 0.0000 2.4307 Pu
0.0000 0.0000 7.7336 Pu
1.4964 1.4964 0.0000 Np
1.4964 1.4964 5.0822 Cd

# 5
PBE Rb4Np3CdS8, relaxed; total magnetic moment = 11.00 μB per formula unit; D(E_F) = 27.93 states/eV/cell; formation energy (no corrections) = -1240 meV per atom
1.0
4.1124 2.3743 7.6532
-4.1124 2.3743 7.6532
0.0000 -4.7486 7.6532
Rb Np Cd S
4 3 1 8
Cartesian
0.0000 0.0000 0.0000 Rb
-2.0562 -1.1871 7.6532 Rb
-2.0562 1.1871 15.3064 Rb
0.0000 2.3743 7.6532 Rb
-4.1124 0.0000 11.4798 Np
-2.0562 1.1871 3.8266 Np
2.0562 1.1871 3.8266 Np
0.0000 0.0000 11.4798 Cd
-2.0944 -1.2092 12.9424 S
0.0000 0.0000 5.2743 S
0.0000 -2.4184 10.0172 S
-2.0944 1.2092 10.0172 S
2.0944 -1.2092 12.9424 S
0.0000 2.4184 12.9424 S
0.0000 0.0000 17.6852 S
2.0944 1.2092 10.0172 S

# 6
PBE Rb2NpCdS4, relaxed; total magnetic moment = 3.00 μB per formula unit; D(E_F) = 17.07 states/eV/cell; formation energy (no corrections) = -1054 meV per atom
1.0
-4.1840 4.2640 6.1775
4.1840 -4.2640 6.1775
4.1840 4.2640 -6.1775
Rb Np Cd S
4 2 2 8
Cartesian
0.0000 0.0000 0.0000 Rb
-2.0920 2.1320 3.0887 Rb
0.0000 4.2640 0.0000 Rb
2.0920 2.1320 3.0887 Rb
2.0920 2.1320 -3.0887 Np
2.0920 -2.1320 3.0887 Np
4.1840 0.0000 0.0000 Cd
0.0000 0.0000 6.1775 Cd
4.1840 -0.3940 3.0315 S
4.1840 3.8700 -3.0315 S
2.4325 2.1320 -0.3462 S
5.9355 2.1320 -0.3462 S
-1.7515 2.1320 6.5236 S
1.7515 2.1320 6.5236 S
0.0000 0.3940 9.2090 S
0.0000 4.6581 3.1459 S

Repeat the first record exactly.
PBE PuNpCd, relaxed; total magnetic moment = 0.40 μB per formula unit; formation energy = 0.260 eV/atom; D(E_F) = 25.28 states/eV/cell
1.0
10.0543 0.0000 0.0000
0.0000 3.9153 0.0000
-0.4690 0.0000 6.3848
Pu Np Cd
4 4 4
Cartesian
1.8994 0.0000 0.4426 Pu
2.6587 1.9576 5.9422 Pu
6.9266 1.9576 0.4426 Pu
7.6859 0.0000 5.9422 Pu
0.5434 1.9576 1.0687 Np
4.0147 0.0000 5.3161 Np
5.5706 0.0000 1.0687 Np
9.0419 1.9576 5.3161 Np
1.1881 0.0000 3.6556 Cd
3.3700 1.9576 2.7291 Cd
6.2153 1.9576 3.6556 Cd
8.3972 0.0000 2.7291 Cd

Copy entry 6 word for word.
PBE Rb2NpCdS4, relaxed; total magnetic moment = 3.00 μB per formula unit; D(E_F) = 17.07 states/eV/cell; formation energy (no corrections) = -1054 meV per atom
1.0
-4.1840 4.2640 6.1775
4.1840 -4.2640 6.1775
4.1840 4.2640 -6.1775
Rb Np Cd S
4 2 2 8
Cartesian
0.0000 0.0000 0.0000 Rb
-2.0920 2.1320 3.0887 Rb
0.0000 4.2640 0.0000 Rb
2.0920 2.1320 3.0887 Rb
2.0920 2.1320 -3.0887 Np
2.0920 -2.1320 3.0887 Np
4.1840 0.0000 0.0000 Cd
0.0000 0.0000 6.1775 Cd
4.1840 -0.3940 3.0315 S
4.1840 3.8700 -3.0315 S
2.4325 2.1320 -0.3462 S
5.9355 2.1320 -0.3462 S
-1.7515 2.1320 6.5236 S
1.7515 2.1320 6.5236 S
0.0000 0.3940 9.2090 S
0.0000 4.6581 3.1459 S

Among the records above, which one has the lowest D(E_F)?
number 4